[1]
The following is a DFT calculation (PBE) of crystalline LiZrSc2Pb at its relaxed geometry.

Formation enthalpy at 0 K in kJ per mole of atoms: 36.0

Cell lengths 4.887, 4.717, 4.887 Å; angles 90.00, 90.00, 90.00 degrees
Site moments in Bohr magnetons follow the coordinates.
Positions (direct):
1 Zr 0.500 0.500 0.500  0.43
2 Sc 0.500 0.000 0.000  0.15
3 Sc 0.000 0.000 0.500  0.13
4 Li 0.000 0.000 0.000  0.02
5 Pb 0.000 0.500 0.000  -0.01



[2]
The following is a DFT calculation (PBE) of crystalline TmTh2Zr at its relaxed geometry.

E above lowest polymorph in eV/atom: 0.022
Formation enthalpy at 0 K in kJ per mole of atoms: 10.1

Cell lengths 3.489, 3.489, 11.257 Å; angles 81.09, 81.09, 60.00 degrees
Positions (direct):
1 Tm 0.500 0.500 0.500
2 Th 0.253 0.253 0.242
3 Th 0.747 0.747 0.758
4 Zr 0.000 0.000 0.000



[3]
The following is a DFT calculation (PBE) of crystalline K3InS at its relaxed geometry.

E above lowest polymorph in eV/atom: 0.000

Cell lengths 6.105, 6.105, 6.105 Å; angles 90.00, 90.00, 90.00 degrees
Site moments in Bohr magnetons follow the coordinates.
Positions (direct):
1 S 0.000 0.000 0.000  0.06
2 In 0.500 0.500 0.500  0.29
3 K 0.000 0.500 0.000  0.01
4 K 0.000 0.000 0.500  0.02
5 K 0.500 0.000 0.000  0.01



[4]
The following is a DFT calculation (PBE) of crystalline Ho2CuSi2Rh5 at its relaxed geometry.

Cell lengths 3.411, 9.709, 9.709 Å; angles 90.00, 90.00, 90.00 degrees
Positions (direct):
1 Rh 0.500 0.433 0.291
2 Rh 0.500 0.000 0.500
3 Rh 0.500 0.067 0.791
4 Rh 0.500 0.567 0.709
5 Rh 0.500 0.291 0.567
6 Rh 0.500 0.791 0.933
7 Rh 0.500 0.209 0.067
8 Rh 0.500 0.500 0.000
9 Rh 0.500 0.709 0.433
10 Rh 0.500 0.933 0.209
11 Ho 0.000 0.327 0.827
12 Ho 0.000 0.827 0.673
13 Ho 0.000 0.173 0.327
14 Ho 0.000 0.673 0.173
15 Si 0.000 0.373 0.127
16 Si 0.000 0.873 0.373
17 Si 0.000 0.627 0.873
18 Si 0.000 0.127 0.627
19 Cu 0.000 0.500 0.500
20 Cu 0.000 0.000 0.000



[5]
The following is a DFT calculation (PBE) of crystalline Hg2SbIr at its relaxed geometry.

Cell lengths 10.554, 10.554, 7.861 Å; angles 47.83, 47.83, 90.00 degrees
Positions (direct):
1 Hg 0.375 0.125 0.750
2 Hg 0.875 0.125 0.750
3 Hg 0.875 0.125 0.250
4 Hg 0.875 0.625 0.250
5 Ir 0.750 0.250 0.500
6 Ir 0.000 0.000 0.000
7 Sb 0.500 0.500 0.000
8 Sb 0.250 0.750 0.500



[6]
The following is a DFT calculation (PBE) of crystalline PmTm2Tl3 at its relaxed geometry.

Formation enthalpy at 0 K in kJ per mole of atoms: -31.8

Cell lengths 3.753, 3.753, 11.640 Å; angles 90.00, 90.00, 90.00 degrees
Positions (direct):
1 Tm 0.500 0.500 0.162
2 Tm 0.500 0.500 0.838
3 Pm 0.500 0.500 0.500
4 Tl 0.000 0.000 0.678
5 Tl 0.000 0.000 0.322
6 Tl 0.000 0.000 0.000



[7]
The following is a DFT calculation (PBE) of crystalline Np2AgO6 at its relaxed geometry.

Cell lengths 4.828, 5.857, 5.857 Å; angles 120.00, 90.00, 90.00 degrees
Site moments in Bohr magnetons follow the coordinates.
Positions (direct):
1 O 0.287 0.370 0.370  -0.09
2 O 0.713 0.370 0.000  -0.09
3 O 0.713 0.000 0.370  -0.09
4 O 0.713 0.630 0.630  -0.09
5 O 0.287 0.000 0.630  -0.09
6 O 0.287 0.630 0.000  -0.09
7 Np 0.500 0.333 0.667  1.76
8 Np 0.500 0.667 0.333  1.76
9 Ag 0.000 0.000 0.000  -0.03



[8]
The following is a DFT calculation (PBE) of crystalline MgZn2Cd2 at its relaxed geometry.

E above lowest polymorph in eV/atom: 0.003
Formation enthalpy at 0 K in kJ per mole of atoms: 5.2

Cell lengths 3.844, 3.844, 7.444 Å; angles 75.04, 75.04, 90.00 degrees
Positions (direct):
1 Cd 0.603 0.603 0.794
2 Cd 0.397 0.397 0.206
3 Zn 0.250 0.750 0.500
4 Zn 0.750 0.250 0.500
5 Mg 0.000 0.000 0.000



[9]
The following is a DFT calculation (PBE) of crystalline ZrTi2Hg2 at its relaxed geometry.

E above lowest polymorph in eV/atom: 0.092
Formation enthalpy at 0 K in kJ per mole of atoms: 7.3

Cell lengths 8.137, 8.137, 3.013 Å; angles 90.00, 90.00, 90.00 degrees
Site moments in Bohr magnetons follow the coordinates.
Positions (direct):
1 Zr 0.500 0.500 0.000  0.05
2 Zr 0.000 0.000 0.000  0.05
3 Hg 0.681 0.819 0.500  0.00
4 Hg 0.319 0.181 0.500  0.00
5 Hg 0.819 0.319 0.500  -0.01
6 Hg 0.181 0.681 0.500  -0.01
7 Ti 0.386 0.886 0.000  0.67
8 Ti 0.614 0.114 0.000  0.67
9 Ti 0.114 0.386 0.000  0.66
10 Ti 0.886 0.614 0.000  0.66



[10]
The following is a DFT calculation (PBE) of crystalline Cs2IrCF6 at its relaxed geometry.

Cell lengths 5.789, 5.789, 6.750 Å; angles 64.61, 64.61, 90.00 degrees
Site moments in Bohr magnetons follow the coordinates.
Positions (direct):
1 Ir 0.000 0.000 0.000  0.01
2 Cs 0.250 0.750 0.500  0.00
3 Cs 0.750 0.250 0.500  0.00
4 F 0.189 0.189 0.622  0.00
5 F 0.252 0.252 0.000  0.02
6 F 0.748 0.748 0.000  0.02
7 F 0.748 0.252 0.000  0.01
8 F 0.811 0.811 0.378  0.00
9 F 0.252 0.748 0.000  0.01
10 C 0.500 0.500 0.000  0.50



[11]
The following is a DFT calculation (PBE) of crystalline Pr5SmTm2 at its relaxed geometry.

Formation enthalpy at 0 K in kJ per mole of atoms: 11.7

Cell lengths 9.364, 9.364, 9.160 Å; angles 120.74, 120.74, 90.00 degrees
Positions (direct):
1 Tm 0.853 0.647 0.000
2 Tm 0.353 0.853 0.000
3 Tm 0.147 0.353 0.000
4 Tm 0.647 0.147 0.000
5 Pr 0.486 0.688 0.674
6 Pr 0.014 0.514 0.326
7 Pr 0.312 0.812 0.326
8 Pr 0.986 0.486 0.674
9 Pr 0.812 0.014 0.326
10 Pr 0.500 0.500 0.000
11 Pr 0.514 0.312 0.326
12 Pr 0.188 0.986 0.674
13 Pr 0.688 0.188 0.674
14 Pr 0.000 0.000 0.000
15 Sm 0.250 0.250 0.500
16 Sm 0.750 0.750 0.500



[12]
The following is a DFT calculation (PBE) of crystalline NaIn2Sn4 at its relaxed geometry.

E above lowest polymorph in eV/atom: 0.000
Formation enthalpy at 0 K in kJ per mole of atoms: -2.1

Cell lengths 3.509, 4.451, 12.642 Å; angles 100.14, 90.00, 90.00 degrees
Positions (direct):
1 Sn 0.000 0.636 0.272
2 Sn 0.500 0.928 0.857
3 Sn 0.000 0.364 0.728
4 Sn 0.500 0.072 0.143
5 In 0.500 0.794 0.588
6 In 0.500 0.206 0.412
7 Na 0.000 0.500 0.000



no.,DFT total energy (eV per formula unit)
1,-24.970
2,-27.442
3,-12.140
4,-69.297
5,-12.736
6,-22.772
7,-78.974
8,-5.701
9,-24.564
10,-43.536
11,-36.592
12,-22.962